No. 1
A plane-wave DFT calculation with GGA-PBE was carried out for HoZn2SnPt4 after structural relaxation.

Electronic total energy: -0.186 Ha/atom
Crystal system: tetragonal

a b c (Å): 4.5800 4.5800 6.6183
angles (deg): 90.00 90.00 90.00
Sites, in units of the cell vectors:
Ho  0.0000  0.0000  0.0000
Zn  0.0000  0.0000  0.5000
Zn  0.5000  0.5000  0.0000
Sn  0.5000  0.5000  0.5000
Pt  0.0000  0.5000  0.2663
Pt  0.0000  0.5000  0.7337
Pt  0.5000  0.0000  0.2663
Pt  0.5000  0.0000  0.7337


No. 2
A plane-wave DFT calculation with GGA-PBE was carried out for NaErCdTe3 after structural relaxation.

Electronic total energy: -0.134 Ha/atom
Crystal system: orthorhombic

a b c (Å): 14.7467 4.3948 11.8767
angles (deg): 90.00 90.00 90.00
Sites, in units of the cell vectors:
Na  0.2330  0.2500  0.0715
Na  0.2670  0.7500  0.5715
Na  0.7330  0.2500  0.4285
Na  0.7670  0.7500  0.9285
Er  0.0171  0.2500  0.3451
Er  0.4829  0.7500  0.8451
Er  0.5171  0.2500  0.1549
Er  0.9829  0.7500  0.6549
Cd  0.0130  0.7500  0.0968
Cd  0.4870  0.2500  0.5968
Cd  0.5130  0.7500  0.4032
Cd  0.9870  0.2500  0.9032
Te  0.1104  0.2500  0.5713
Te  0.1117  0.7500  0.8772
Te  0.1487  0.7500  0.2619
Te  0.3513  0.2500  0.7619
Te  0.3883  0.2500  0.3772
Te  0.3896  0.7500  0.0713
Te  0.6104  0.2500  0.9287
Te  0.6117  0.7500  0.6228
Te  0.6487  0.7500  0.2381
Te  0.8513  0.2500  0.7381
Te  0.8883  0.2500  0.1228
Te  0.8896  0.7500  0.4287


No. 3
A plane-wave DFT calculation with GGA-PBE was carried out for Tm3Zr3FeBi2 after structural relaxation.

Electronic total energy: -0.236 Ha/atom
Crystal system: hexagonal

a b c (Å): 8.1026 8.1026 3.8059
angles (deg): 90.00 90.00 120.00
Sites, in units of the cell vectors:
Tm  0.0000  0.7609  0.0000
Tm  0.2391  0.2391  0.0000
Tm  0.7609  0.0000  0.0000
Zr  0.0000  0.3898  0.5000
Zr  0.3898  0.0000  0.5000
Zr  0.6102  0.6102  0.5000
Fe  0.0000  0.0000  0.5000
Bi  0.3333  0.6667  0.0000
Bi  0.6667  0.3333  0.0000


No. 4
A plane-wave DFT calculation with GGA-PBE was carried out for SrBiMo after structural relaxation.

Electronic total energy: -0.179 Ha/atom
Crystal system: cubic

a b c (Å): 5.1751 5.1751 5.1751
angles (deg): 60.00 60.00 60.00
Sites, in units of the cell vectors:
Sr  0.0000  0.0000  0.0000
Bi  0.5000  0.5000  0.5000
Mo  0.7500  0.7500  0.7500